Entry from Alexandria: a relaxed AlCrAs2Br crystal (PBEsol).

For the energy relative to the elements, uncorrected, the calculation gives 0.3288 eV per atom. The calculation puts the density at 4.637 g/cm³. The value obtained for the total energy is -4.954 eV per atom.

The structure belongs to space group P4/mmm (No. 123); the cell edges are 4.5662, 4.5662 and 5.3026 Å and the angles 90.00°, 90.00° and 90.00°. Symmetry generates all atoms from Al at (0.0000, 0.0000, 0.0000), Cr at (0.5000, 0.5000, 0.5000), As at (0.0000, 0.5000, 0.5000) and Br at (0.5000, 0.5000, 0.0000).

Entry from Alexandria: a relaxed AlAsHBr2 crystal (PBEsol).

The calculation puts the density at 3.390 g/cm³. The value obtained for the total energy is -2.835 eV per atom.

The structure belongs to space group P4/mmm (No. 123); the cell edges are 5.1222, 5.1222 and 4.9050 Å and the angles 90.00°, 90.00° and 90.00°. Symmetry generates all atoms from Al at (0.0000, 0.0000, 0.0000), As at (0.0000, 0.0000, 0.5000), H at (0.5000, 0.5000, 0.5000) and Br at (0.0000, 0.5000, 0.0000).